(1)
Crystalline CsTl2CuI4 at its relaxed geometry, computed with PBE.

Geometry as POSCAR:
```
CsTl2CuI4
1.0
2.381 -8.444 0.000
2.381 8.444 0.000
0.000 0.000 17.528
Cs Tl Cu I
2 4 2 8
Direct
0.093 0.907 0.750
0.907 0.093 0.250
0.363 0.637 0.551
0.363 0.637 0.949
0.637 0.363 0.051
0.637 0.363 0.449
0.179 0.821 0.250
0.821 0.179 0.750
0.000 0.000 0.000
0.000 0.000 0.500
0.272 0.728 0.129
0.272 0.728 0.371
0.403 0.597 0.750
0.597 0.403 0.250
0.728 0.272 0.629
0.728 0.272 0.871
```

Computed properties:
Raw formation energy: -0.7363 eV/atom
SG: Cmcm, No. 63

=====

(2)
Crystalline LaAlNi at its relaxed geometry, computed with PBE.

Geometry as POSCAR:
```
LaAlNi
1.0
4.084 0.000 0.000
0.000 4.084 0.000
0.000 0.000 7.530
La Al Ni
2 2 2
Direct
0.250 0.250 0.168
0.750 0.750 0.832
0.250 0.750 0.500
0.750 0.250 0.500
0.250 0.250 0.693
0.750 0.750 0.307
```

Computed properties:
ΔH_f (0 K): -0.473 eV/atom
SG: P4/nmm, No. 129

=====

(3)
Crystalline GaPbNF2 at its relaxed geometry, computed with PBE.

Geometry as POSCAR:
```
GaPbNF2
1.0
4.237 0.000 0.000
0.000 4.237 0.000
0.000 0.000 3.781
Ga Pb N F
1 1 1 2
Direct
0.000 0.000 0.000
0.500 0.500 0.500
0.000 0.000 0.500
0.000 0.500 0.000
0.500 0.000 0.000
```

Computed properties:
Raw formation energy: -1.1053 eV/atom
SG: P4/mmm, No. 123

=====

(4)
Crystalline Li3ClF at its relaxed geometry, computed with PBE.

Geometry as POSCAR:
```
Li3ClF
1.0
4.233 0.000 0.000
0.000 4.233 0.000
0.000 0.000 4.233
Li Cl F
3 1 1
Direct
0.000 0.000 0.500
0.000 0.500 0.000
0.500 0.000 0.000
0.500 0.500 0.500
0.000 0.000 0.000
```

Computed properties:
Raw formation energy: -1.5268 eV/atom
SG: Pm-3m, No. 221

=====

(5)
Crystalline Pr7Ag2Ir2 at its relaxed geometry, computed with PBE.

Geometry as POSCAR:
```
Pr7Ag2Ir2
1.0
4.133 -5.660 0.000
4.133 5.660 0.000
0.000 0.000 7.340
Pr Ag Ir
7 2 2
Direct
0.000 0.000 0.000
0.000 0.500 0.256
0.000 0.500 0.744
0.500 0.000 0.256
0.500 0.000 0.744
0.500 0.500 0.247
0.500 0.500 0.753
0.174 0.174 0.500
0.826 0.826 0.500
0.289 0.711 0.000
0.711 0.289 0.000
```

Computed properties:
ΔH_f (0 K): -0.273 eV/atom
SG: Cmmm, No. 65

=====

(6)
Crystalline ZnHgP2Cl at its relaxed geometry, computed with PBE.

Geometry as POSCAR:
```
ZnHgP2Cl
1.0
4.732 0.000 0.000
0.000 4.732 0.000
0.000 0.000 5.005
Zn Hg P Cl
1 1 2 1
Direct
0.000 0.000 0.000
0.500 0.500 0.500
0.000 0.500 0.000
0.500 0.000 0.000
0.000 0.000 0.500
```

Computed properties:
Raw formation energy: 0.5888 eV/atom
SG: P4/mmm, No. 123

=====

(7)
Crystalline Mg3BeAg at its relaxed geometry, computed with PBE.

Geometry as POSCAR:
```
Mg3BeAg
1.0
5.047 0.000 0.000
0.000 5.047 0.000
0.000 0.000 5.047
Mg Be Ag
3 1 1
Direct
0.000 0.000 0.500
0.000 0.500 0.000
0.500 0.000 0.000
0.500 0.500 0.500
0.000 0.000 0.000
```

Computed properties:
ΔH_f (0 K): 0.649 eV/atom
SG: Pm-3m, No. 221

=====

(8)
Crystalline MgTaOs at its relaxed geometry, computed with PBE.

Geometry as POSCAR:
```
MgTaOs
1.0
0.000 3.093 3.093
3.093 0.000 3.093
3.093 3.093 0.000
Mg Ta Os
1 1 1
Direct
0.000 0.000 0.000
0.750 0.750 0.750
0.500 0.500 0.500
```

Computed properties:
ΔH_f (0 K): 0.691 eV/atom
SG: F-43m, No. 216

=====

| no. | E (eV/atom) | total moment (Bohr magnetons per cell) |
| --- | --- | --- |
| 1 | -2.72 | 0.00 |
| 2 | -5.29 | 0.00 |
| 3 | -4.87 | 0.00 |
| 4 | -3.42 | 0.00 |
| 5 | -5.44 | 0.00 |
| 6 | -2.26 | 1.22 |
| 7 | -1.62 | 0.00 |
| 8 | -7.53 | 0.00 |